VASP calculation (GGA-PBEsol) on a relaxed Tl2PbAu crystal.

- crystal system = tetragonal
- calculated total energy (eV per cell) = -13.15
- Fermi-level density of states (states/eV per cell) = 2.1

a b c (Å): 3.536 3.536 8.150
angles (deg): 90.00 90.00 90.00
Fractional coordinates of all 4 atoms:
Au (0.000, 0.000, 0.500)
Pb (0.500, 0.500, 0.707)
Tl (0.000, 0.000, 0.007)
Tl (0.500, 0.500, 0.285)